Record 1
Computed, not measured: a geometry-optimized Tm4CdIn2Au structure at the PBE level of DFT.

The structure in POSCAR format:
```
Tm4CdIn2Au
1.0
2.598 1.500 8.473
-2.598 1.500 8.473
0.000 -3.000 8.473
Tm Cd In Au
4 1 2 1
direct
0.120 0.120 0.120
0.371 0.371 0.371
0.629 0.629 0.629
0.880 0.880 0.880
0.500 0.500 0.500
0.246 0.246 0.246
0.754 0.754 0.754
0.000 0.000 0.000
```

Properties
- ΔH_f (0 K): -0.5064 eV per atom
- SG: No. 166

---

Record 2
Computed, not measured: a geometry-optimized Tm4Cd2InAu structure at the PBE level of DFT.

The structure in POSCAR format:
```
Tm4Cd2InAu
1.0
2.594 1.497 8.417
-2.594 1.497 8.417
0.000 -2.995 8.417
Tm Cd In Au
4 2 1 1
direct
0.120 0.120 0.120
0.371 0.371 0.371
0.629 0.629 0.629
0.880 0.880 0.880
0.246 0.246 0.246
0.754 0.754 0.754
0.500 0.500 0.500
0.000 0.000 0.000
```

Properties
- ΔH_f (0 K): -0.4840 eV per atom
- SG: No. 166

---

Record 3
Computed, not measured: a geometry-optimized UCdInAu structure at the PBE level of DFT.

The structure in POSCAR format:
```
UCdInAu
1.0
0.000 3.579 3.579
3.579 0.000 3.579
3.579 3.579 0.000
U Cd In Au
1 1 1 1
direct
0.000 0.000 0.000
0.750 0.750 0.750
0.500 0.500 0.500
0.250 0.250 0.250
```

Properties
- ΔH_f (0 K): 0.0125 eV per atom
- SG: No. 216

---

Record 4
Computed, not measured: a geometry-optimized VCdIn2Au structure at the PBE level of DFT.

The structure in POSCAR format:
```
VCdIn2Au
1.0
5.247 0.000 0.000
0.000 5.247 0.000
0.000 0.000 5.273
V Cd In Au
1 1 2 1
direct
0.000 0.000 0.000
0.500 0.500 0.000
0.000 0.500 0.500
0.500 0.000 0.500
0.500 0.500 0.500
```

Properties
- ΔH_f (0 K): 0.9710 eV per atom
- SG: No. 123